Computed, not measured: a relaxed structure of LiMoAu2 at the PBE level of DFT.

DFT formation energy, eV/atom: 0.043
N(E_F), states/eV/cell: 2.8
Energy above the most stable polymorph in this dataset, eV/atom: 0.110

Geometry as CIF:
```
data_LiMoAu2
_chemical_formula_sum 'Li1 Mo1 Au2'
_cell_length_a 4.003
_cell_length_b 2.728
_cell_length_c 6.614
_cell_angle_alpha 65.62
_cell_angle_beta 90.00
_cell_angle_gamma 90.00
_space_group_name_H-M_alt 'P 1'
_space_group_IT_number 1
loop_
_space_group_symop_operation_xyz
'x,y,z'
loop_
_atom_site_label
_atom_site_fract_x
_atom_site_fract_y
_atom_site_fract_z
Au1 0.000 0.998 0.001
Au2 0.000 0.502 0.499
Li1 0.500 0.250 0.250
Mo1 0.500 0.750 0.750
```